# 1
## Pr2USi3Rh12 (PBE)

Data for an optimized crystal structure of Pr2USi3Rh12.

Unit cell a=7.6036 b=7.6036 c=7.6036 alpha=64.33 beta=64.33 gamma=64.33
Atoms (fractional coordinates):
Pr 0.1010 0.1010 0.1010
Pr 0.8990 0.8990 0.8990
U 0.5000 0.5000 0.5000
Si 0.0000 0.5000 0.5000
Si 0.5000 0.0000 0.5000
Si 0.5000 0.5000 0.0000
Rh 0.1172 0.6378 0.6378
Rh 0.1470 0.1470 0.5987
Rh 0.1470 0.5987 0.1470
Rh 0.3622 0.3622 0.8828
Rh 0.3622 0.8828 0.3622
Rh 0.4013 0.8530 0.8530
Rh 0.5987 0.1470 0.1470
Rh 0.6378 0.1172 0.6378
Rh 0.6378 0.6378 0.1172
Rh 0.8530 0.4013 0.8530
Rh 0.8530 0.8530 0.4013
Rh 0.8828 0.3622 0.3622

Results
Total moment (μB per formula unit): 0.00
Raw formation energy (meV per atom): -262
Uncorrected energy (eV per atom): -7.225

=====

# 2
## CaMg2Ta (PBE)

Data for an optimized crystal structure of CaMg2Ta.

Unit cell a=5.4732 b=5.4732 c=6.0601 alpha=95.65 beta=95.65 gamma=31.24
Atoms (fractional coordinates):
Ca 0.0000 0.0000 0.0000
Mg 0.2430 0.2430 0.7163
Mg 0.7570 0.7570 0.2837
Ta 0.5000 0.5000 0.5000

Results
Total moment (μB per formula unit): 0.11
Uncorrected energy (eV per atom): -3.803
Formation energy from the elements (kJ/mol of atoms): 44.2

=====

# 3
## BeAs2PdBr (PBE)

Data for an optimized crystal structure of BeAs2PdBr.

Unit cell a=4.4100 b=4.4100 c=4.8547 alpha=90.00 beta=90.00 gamma=90.00
Atoms (fractional coordinates):
Be 0.0000 0.0000 0.0000
As 0.0000 0.5000 0.0000
As 0.5000 0.0000 0.0000
Pd 0.0000 0.0000 0.5000
Br 0.5000 0.5000 0.5000

Results
Total moment (μB per formula unit): 0.00
Raw formation energy (meV per atom): 460
Uncorrected energy (eV per atom): -3.518
E above lowest polymorph (meV per atom): 0

=====

# 4
## AlTe2Ir (PBE)

Data for an optimized crystal structure of AlTe2Ir.

Unit cell a=3.8382 b=4.0687 c=5.5257 alpha=90.00 beta=90.00 gamma=90.00
Atoms (fractional coordinates):
Al 0.0000 0.0000 0.0000
Te 0.0000 0.5000 0.5000
Te 0.5000 0.5000 0.0000
Ir 0.5000 0.0000 0.5000

Results
Total moment (μB per formula unit): 0.00
Raw formation energy (meV per atom): 487
Uncorrected energy (eV per atom): -4.234
E above lowest polymorph (meV per atom): 742

=====

# 5
## Tb2Pm5Cd (PBE)

Data for an optimized crystal structure of Tb2Pm5Cd.

Unit cell a=3.6550 b=21.8335 c=6.7768 alpha=90.00 beta=105.60 gamma=90.00
Atoms (fractional coordinates):
Tb 0.1378 0.0101 0.2750
Tb 0.1378 0.4899 0.2750
Tb 0.8622 0.5101 0.7250
Tb 0.8622 0.9899 0.7250
Pm 0.0759 0.2500 0.1529
Pm 0.2496 0.6420 0.5012
Pm 0.2496 0.8580 0.5012
Pm 0.4824 0.1146 0.9695
Pm 0.4824 0.3854 0.9695
Pm 0.5176 0.6146 0.0305
Pm 0.5176 0.8854 0.0305
Pm 0.7504 0.1420 0.4988
Pm 0.7504 0.3580 0.4988
Pm 0.9241 0.7500 0.8471
Cd 0.3579 0.2500 0.7141
Cd 0.6421 0.7500 0.2859

Results
Total moment (μB per formula unit): 0.00
Uncorrected energy (eV per atom): -4.295
Formation energy from the elements (kJ/mol of atoms): -5.2
E above lowest polymorph (meV per atom): 0

=====

# 6
## CrIn2As (PBE)

Data for an optimized crystal structure of CrIn2As.

Unit cell a=6.5109 b=6.5109 c=6.5109 alpha=152.88 beta=136.62 gamma=51.91
Atoms (fractional coordinates):
Cr 0.0000 0.0000 0.0000
In 0.4829 0.4829 0.0000
In 0.7810 0.2810 0.5000
As 0.1734 0.6734 0.5000

Results
Total moment (μB per formula unit): 2.99
Uncorrected energy (eV per atom): -4.755
Formation energy from the elements (kJ/mol of atoms): 17.6